The following is a GGA-PBE calculation of a relaxed YSbMo2 crystal, from the Alexandria database.

Geometry as POSCAR:
```
YSbMo2
1.0
-3.959 3.959 2.862
3.959 -3.959 2.862
3.959 3.959 -2.862
Y Sb Mo
2 2 4
Direct
0.000 0.000 0.000
0.750 0.250 0.500
0.250 0.750 0.500
0.500 0.500 0.000
0.171 0.625 0.046
0.375 0.421 0.546
0.579 0.125 0.954
0.875 0.829 0.454
```

Output
E_form (uncorrected) (meV/atom): 773.3
Space group: No. 122
Total magnetization (μB per formula unit): 0.02

---

The following is a GGA-PBE calculation of a relaxed YSb2Mo crystal, from the Alexandria database.

Geometry as POSCAR:
```
YSb2Mo
1.0
3.501 -3.506 0.000
3.501 3.506 0.000
0.000 0.000 3.629
Y Sb Mo
1 2 1
Direct
0.000 0.000 0.000
0.000 0.500 0.500
0.500 0.000 0.500
0.500 0.500 0.000
```

Output
E_form (uncorrected) (meV/atom): -61.3
Space group: No. 65
Total magnetization (μB per formula unit): 0.00
E above lowest polymorph (meV/atom): 201

---

The following is a GGA-PBE calculation of a relaxed YSbMo2 crystal, from the Alexandria database.

Geometry as POSCAR:
```
YSbMo2
1.0
2.950 -4.834 0.000
2.950 4.834 0.000
-1.363 0.000 2.783
Y Sb Mo
1 1 2
Direct
0.000 0.000 0.000
0.500 0.500 0.000
0.000 0.500 0.500
0.500 0.000 0.500
```

Output
E_form (uncorrected) (meV/atom): 370.7
Space group: No. 12
Total magnetization (μB per formula unit): 0.00

---

The following is a GGA-PBE calculation of a relaxed YSbMo2 crystal, from the Alexandria database.

Geometry as POSCAR:
```
YSbMo2
1.0
1.787 -2.532 0.000
1.787 2.532 0.000
0.000 0.000 8.984
Y Sb Mo
1 1 2
Direct
0.000 0.000 0.000
0.000 0.000 0.500
0.500 0.500 0.270
0.500 0.500 0.730
```

Output
E_form (uncorrected) (meV/atom): 509.8
Space group: No. 65
Total magnetization (μB per formula unit): 0.00

---

The following is a GGA-PBE calculation of a relaxed YSb2Mo crystal, from the Alexandria database.

Geometry as POSCAR:
```
YSb2Mo
1.0
1.829 1.056 8.312
-1.829 1.056 8.312
0.000 -2.112 8.312
Y Sb Mo
1 2 1
Direct
0.000 0.000 0.000
0.239 0.239 0.239
0.761 0.761 0.761
0.500 0.500 0.500
```

Output
E_form (uncorrected) (meV/atom): -69.8
Space group: No. 166
Total magnetization (μB per formula unit): 0.00
E above lowest polymorph (meV/atom): 192

---

The following is a GGA-PBE calculation of a relaxed YSb2Mo crystal, from the Alexandria database.

Geometry as POSCAR:
```
YSb2Mo
1.0
3.934 0.000 0.000
0.000 4.381 0.000
0.000 0.000 5.264
Y Sb Mo
1 2 1
Direct
0.000 0.000 0.000
0.000 0.500 0.500
0.500 0.500 0.000
0.500 0.000 0.500
```

Output
E_form (uncorrected) (meV/atom): -7.5
Space group: No. 47
Total magnetization (μB per formula unit): 0.00
E above lowest polymorph (meV/atom): 255

---

The following is a GGA-PBE calculation of a relaxed YSb2Mo crystal, from the Alexandria database.

Geometry as POSCAR:
```
YSb2Mo
1.0
0.000 3.580 3.580
3.580 0.000 3.580
3.580 3.580 0.000
Y Sb Mo
1 2 1
Direct
0.000 0.000 0.000
0.250 0.250 0.250
0.500 0.500 0.500
0.750 0.750 0.750
```

Output
E_form (uncorrected) (meV/atom): 219.6
Space group: No. 216
Total magnetization (μB per formula unit): 1.08
E above lowest polymorph (meV/atom): 482

---

The following is a GGA-PBE calculation of a relaxed YSbMo2 crystal, from the Alexandria database.

Geometry as POSCAR:
```
YSbMo2
1.0
4.202 0.000 0.000
0.000 4.202 0.000
0.000 0.000 4.450
Y Sb Mo
1 1 2
Direct
0.000 0.000 0.000
0.500 0.500 0.000
0.000 0.500 0.500
0.500 0.000 0.500
```

Output
E_form (uncorrected) (meV/atom): 192.0
Space group: No. 123
Total magnetization (μB per formula unit): 0.00

---

The following is a GGA-PBE calculation of a relaxed YSbMo2 crystal, from the Alexandria database.

Geometry as POSCAR:
```
YSbMo2
1.0
1.643 0.948 8.885
-1.643 0.948 8.885
0.000 -1.897 8.885
Y Sb Mo
1 1 2
Direct
0.000 0.000 0.000
0.500 0.500 0.500
0.242 0.242 0.242
0.758 0.758 0.758
```

Output
E_form (uncorrected) (meV/atom): 539.8
Space group: No. 166
Total magnetization (μB per formula unit): 0.00

---

The following is a GGA-PBE calculation of a relaxed YSbMo crystal, from the Alexandria database.

Geometry as POSCAR:
```
YSbMo
1.0
3.535 0.000 0.000
-1.768 3.062 0.000
0.000 0.000 6.571
Y Sb Mo
1 1 1
Direct
0.000 0.000 0.000
0.667 0.333 0.617
0.333 0.667 0.342
```

Output
E_form (uncorrected) (meV/atom): 88.5
Space group: No. 156
Total magnetization (μB per formula unit): 0.00
E above lowest polymorph (meV/atom): 258

---

The following is a GGA-PBE calculation of a relaxed YSbMo2 crystal, from the Alexandria database.

Geometry as POSCAR:
```
YSbMo2
1.0
1.662 0.959 8.940
-1.662 0.959 8.940
0.000 -1.919 8.940
Y Sb Mo
1 1 2
Direct
0.000 0.000 0.000
0.768 0.768 0.768
0.245 0.245 0.245
0.514 0.514 0.514
```

Output
E_form (uncorrected) (meV/atom): 213.3
Space group: No. 160
Total magnetization (μB per formula unit): 0.00

---

The following is a GGA-PBE calculation of a relaxed YSb2Mo crystal, from the Alexandria database.

Geometry as POSCAR:
```
YSb2Mo
1.0
-1.857 2.407 5.142
1.857 -2.407 5.142
1.857 2.407 -5.142
Y Sb Mo
1 2 1
Direct
0.000 0.000 0.000
0.456 0.456 0.000
0.737 0.237 0.500
0.256 0.756 0.500
```

Output
E_form (uncorrected) (meV/atom): -57.6
Space group: No. 44
Total magnetization (μB per formula unit): 0.00
E above lowest polymorph (meV/atom): 205